[1]
## CaPmPb4 (PBE-GGA)

Data for a relaxed structure of CaPmPb4.

```
CaPmPb4
1.0
5.674 0.110 0.153
0.245 5.210 2.976
0.046 -0.109 6.245
Pb Ca Pm
4 1 1
Direct
0.501 0.674 0.151
0.501 0.330 0.840
0.001 0.183 0.132
0.001 0.820 0.859
0.501 0.002 0.495
0.001 0.502 0.495
```

crystal system	monoclinic
DFT formation energy	-26	kJ/mol of atoms
distance to the lowest polymorph of the same formula	0.000	eV/atom
electronic total energy	-3.867	eV per atom
space-group type	C2/m (12)

[2]
## ZnNiCl (PBE-GGA)

Data for a relaxed structure of ZnNiCl.

```
ZnNiCl
1.0
4.082 0.000 0.000
-2.041 3.535 0.000
0.000 0.000 3.217
Cl Ni Zn
1 1 1
Direct
0.000 0.000 0.167
0.667 0.333 0.165
0.333 0.667 0.668
```

crystal system	trigonal
formation energy from raw total energies	60	kJ/mol of formula units
distance to the lowest polymorph of the same formula	0.267	eV/atom
electronic total energy	-2.761	eV per atom
space-group type	P3m1 (156)

[3]
## Pm2Pr3S8 (PBE-GGA)

Data for a relaxed structure of Pm2Pr3S8.

```
Pm2Pr3S8
1.0
6.969 0.000 0.135
0.000 8.289 0.000
-2.655 -4.145 6.557
Pr S Pm
3 8 2
Direct
0.000 0.264 0.000
0.500 0.000 0.000
0.000 0.736 0.000
0.583 0.642 0.745
0.902 0.619 0.238
0.583 0.103 0.745
0.063 0.881 0.763
0.937 0.119 0.237
0.098 0.381 0.762
0.417 0.358 0.255
0.417 0.897 0.255
0.653 0.735 0.470
0.347 0.265 0.530
```

crystal system	monoclinic
formation energy from raw total energies	-2274	kJ/mol of formula units
electronic total energy	-6.187	eV per atom
space-group type	C2/m (12)

[4]
## ErH2Rh (PBE-GGA)

Data for a relaxed structure of ErH2Rh.

```
ErH2Rh
1.0
3.412 0.000 0.000
1.706 2.955 0.000
1.706 0.985 4.427
H Er Rh
2 1 1
Direct
0.282 0.282 0.154
0.718 0.718 0.846
0.500 0.500 0.500
0.000 0.000 0.000
```

crystal system	trigonal
distance to the lowest polymorph of the same formula	0.285	eV/atom
electronic total energy	-4.939	eV per atom
space-group type	R-3m (166)